1.
Mg2CoSi | PBE-GGA | relaxed

**Energy relative to the elements, uncorrected**: 0.02 eV per atom

```
data_Mg2CoSi
_chemical_formula_sum 'Mg8 Co4 Si4'
_space_group_name_H-M_alt 'F -4 3 m'
_space_group_IT_number 216
_space_group_name_Hall 'F -4 2 3'
_cell_length_a 6.117
_cell_length_b 6.117
_cell_length_c 6.117
_cell_angle_alpha 90.00
_cell_angle_beta 90.00
_cell_angle_gamma 90.00
loop_
_atom_site_label
_atom_site_fract_x
_atom_site_fract_y
_atom_site_fract_z
Mg1 0.000 0.000 0.000
Mg2 0.250 0.250 0.250
Co1 0.250 0.250 0.750
Si1 0.000 0.000 0.500
```

***

2.
Mg2CoSi | PBE-GGA | relaxed

**Energy relative to the elements, uncorrected**: 0.11 eV per atom

```
data_Mg2CoSi
_chemical_formula_sum 'Mg2 Co1 Si1'
_space_group_name_H-M_alt 'P 4/m m m'
_space_group_IT_number 123
_space_group_name_Hall '-P 4 2'
_cell_length_a 3.291
_cell_length_b 3.291
_cell_length_c 5.658
_cell_angle_alpha 90.00
_cell_angle_beta 90.00
_cell_angle_gamma 90.00
loop_
_atom_site_label
_atom_site_fract_x
_atom_site_fract_y
_atom_site_fract_z
Mg1 0.000 0.000 0.235
Co1 0.500 0.500 0.000
Si1 0.500 0.500 0.500
```

***

3.
MgCoSi2Tc | PBE-GGA | relaxed

**Energy relative to the elements, uncorrected**: 1.68 eV per atom

```
data_MgCoSi2Tc
_chemical_formula_sum 'Mg1 Co1 Si2 Tc1'
_space_group_name_H-M_alt 'P 4/m m m'
_space_group_IT_number 123
_space_group_name_Hall '-P 4 2'
_cell_length_a 4.630
_cell_length_b 4.630
_cell_length_c 4.183
_cell_angle_alpha 90.00
_cell_angle_beta 90.00
_cell_angle_gamma 90.00
loop_
_atom_site_label
_atom_site_fract_x
_atom_site_fract_y
_atom_site_fract_z
Mg1 0.000 0.000 0.000
Co1 0.000 0.000 0.500
Si1 0.000 0.500 0.000
Tc1 0.500 0.500 0.500
```

***

4.
Mg2VCo5Si2 | PBE-GGA | relaxed

**Energy relative to the elements, uncorrected**: -0.23 eV per atom

```
data_Mg2VCo5Si2
_chemical_formula_sum 'Mg4 V2 Co10 Si4'
_space_group_name_H-M_alt 'P 4/m b m'
_space_group_IT_number 127
_space_group_name_Hall '-P 4 2ab'
_cell_length_a 9.005
_cell_length_b 9.005
_cell_length_c 3.117
_cell_angle_alpha 90.00
_cell_angle_beta 90.00
_cell_angle_gamma 90.00
loop_
_atom_site_label
_atom_site_fract_x
_atom_site_fract_y
_atom_site_fract_z
Mg1 0.172 0.328 0.000
V1 0.000 0.000 0.000
Co1 0.000 0.500 0.500
Co2 0.067 0.800 0.500
Si1 0.127 0.627 0.000
```

***

5.
MgCoSiW2 | PBE-GGA | relaxed

**Energy relative to the elements, uncorrected**: 1.00 eV per atom

```
data_MgCoSiW2
_chemical_formula_sum 'Mg1 Co1 Si1 W2'
_space_group_name_H-M_alt 'P 4/m m m'
_space_group_IT_number 123
_space_group_name_Hall '-P 4 2'
_cell_length_a 4.568
_cell_length_b 4.568
_cell_length_c 4.177
_cell_angle_alpha 90.00
_cell_angle_beta 90.00
_cell_angle_gamma 90.00
loop_
_atom_site_label
_atom_site_fract_x
_atom_site_fract_y
_atom_site_fract_z
Mg1 0.000 0.000 0.000
Co1 0.500 0.500 0.500
Si1 0.500 0.500 0.000
W1 0.000 0.500 0.500
```

***

6.
Mg2ZnCo5Si2 | PBE-GGA | relaxed

**Energy relative to the elements, uncorrected**: -0.22 eV per atom

```
data_Mg2ZnCo5Si2
_chemical_formula_sum 'Mg4 Zn2 Co10 Si4'
_space_group_name_H-M_alt 'P 4/m b m'
_space_group_IT_number 127
_space_group_name_Hall '-P 4 2ab'
_cell_length_a 9.182
_cell_length_b 9.182
_cell_length_c 3.029
_cell_angle_alpha 90.00
_cell_angle_beta 90.00
_cell_angle_gamma 90.00
loop_
_atom_site_label
_atom_site_fract_x
_atom_site_fract_y
_atom_site_fract_z
Mg1 0.172 0.328 0.000
Zn1 0.000 0.000 0.000
Co1 0.000 0.500 0.500
Co2 0.067 0.795 0.500
Si1 0.128 0.628 0.000
```

***

What is the energy relative to the elements, uncorrected in the first record? 0.02 eV per atom

***

Which formula does entry 5 have? MgCoSiW2

***

energy relative to the elements, uncorrected of number 6 (Mg2ZnCo5Si2)? -0.22 eV per atom